Material: Ca2WCl
Method: DFT, PBE
State: relaxed

Calculated values
- Offset from the most stable computed form: 366 meV/atom
- Energy relative to the elements, uncorrected: 0.2108 eV per atom

a = 11.556 Å, b = 3.117 Å, c = 5.392 Å
α = 90.00°, β = 90.41°, γ = 90.00°
Space group Cm (No. 8)
Inequivalent atoms, fractional coordinates:
1 Ca 0.000 0.000 0.000 x2
2 Ca 0.244 0.500 0.499 x2
3 W 0.260 0.000 0.999 x2
4 Cl 0.487 0.000 0.491 x2

***

Material: Tl2HPtI
Method: DFT, PBE
State: relaxed

Calculated values
- E_tot: -3.304 eV per atom

a = 5.616 Å, b = 5.616 Å, c = 3.816 Å
α = 90.00°, β = 90.00°, γ = 90.00°
Space group P4/mmm (No. 123)
Inequivalent atoms, fractional coordinates:
1 Tl 0.000 0.500 0.000 x2
2 H 0.000 0.000 0.500 x1
3 Pt 0.000 0.000 0.000 x1
4 I 0.500 0.500 0.500 x1

***

Material: Ac2DyHo5
Method: DFT, PBE
State: relaxed

Calculated values
- Energy of formation from the pure elements: 0.11 eV per atom

a = 5.814 Å, b = 5.814 Å, c = 16.426 Å
α = 90.00°, β = 90.00°, γ = 90.00°
Space group I4/mmm (No. 139)
Inequivalent atoms, fractional coordinates:
1 Ac 0.000 0.000 0.250 x4
2 Dy 0.000 0.000 0.000 x2
3 Ho 0.000 0.000 0.500 x2
4 Ho 0.000 0.500 0.111 x8

***

Material: RhWCl2
Method: DFT, PBE
State: relaxed

Calculated values
- Offset from the most stable computed form: 284 meV/atom
- Energy relative to the elements, uncorrected: 0.0930 eV per atom

a = 2.932 Å, b = 4.504 Å, c = 13.762 Å
α = 90.00°, β = 90.00°, γ = 90.00°
Space group Immm (No. 71)
Inequivalent atoms, fractional coordinates:
1 Rh 0.000 0.000 0.000 x2
2 W 0.000 0.000 0.500 x2
3 Cl 0.000 0.500 0.143 x4

***

Material: CsLiZnBr4
Method: DFT, PBE
State: relaxed

Calculated values
- Energy relative to the elements, uncorrected: -1.3398 eV per atom

a = 6.478 Å, b = 7.650 Å, c = 10.133 Å
α = 90.00°, β = 108.65°, γ = 90.00°
Space group P2_1/m (No. 11)
Inequivalent atoms, fractional coordinates:
1 Cs 0.186 0.250 0.396 x2
2 Li 0.374 0.250 0.994 x2
3 Zn 0.309 0.750 0.193 x2
4 Br 0.005 0.750 0.982 x2
5 Br 0.220 0.750 0.408 x2
6 Br 0.440 0.005 0.804 x4

***

Material: HfSeBr2N
Method: DFT, PBE
State: relaxed

Calculated values
- Offset from the most stable computed form: 0 meV/atom
- Energy relative to the elements, uncorrected: 0.1920 eV per atom

a = 5.368 Å, b = 5.368 Å, c = 5.087 Å
α = 90.00°, β = 90.00°, γ = 90.00°
Space group P4/mmm (No. 123)
Inequivalent atoms, fractional coordinates:
1 Hf 0.000 0.000 0.000 x1
2 Se 0.000 0.000 0.500 x1
3 Br 0.000 0.500 0.000 x2
4 N 0.500 0.500 0.500 x1